1.
First-principles (GGA-PBE) data for SmLuP after structural relaxation, as listed in the Alexandria database. Values from VASP.

Values from the calculation:
Fermi-level density of states   3.4 states/eV per cell
Density   7.0 g cm⁻³
Symmetry   P3m1 (156)
Electronic total energy   -5.81 eV per atom

Geometry as Quantum ESPRESSO input:
```
&SYSTEM
  ibrav = 0, nat = 3, ntyp = 3
/
ATOMIC_SPECIES
Sm 150.36 Sm.upf
Lu 174.97 Lu.upf
P 30.97 P.upf
CELL_PARAMETERS angstrom
3.900 0.000 0.000
-1.950 3.377 0.000
0.000 0.000 6.380
ATOMIC_POSITIONS angstrom
Sm 0.000 0.000 0.000
Lu 0.000 2.252 3.182
P 1.950 1.126 1.679
```

2.
First-principles (GGA-PBE) data for Sm2LuP after structural relaxation, as listed in the Alexandria database. Values from VASP.

Values from the calculation:
Fermi-level density of states   5.0 states/eV per cell
Density   6.7 g cm⁻³
Symmetry   R-3m (166)
Electronic total energy   -5.30 eV per atom

Geometry as Quantum ESPRESSO input:
```
&SYSTEM
  ibrav = 0, nat = 4, ntyp = 3
/
ATOMIC_SPECIES
Sm 150.36 Sm.upf
Lu 174.97 Lu.upf
P 30.97 P.upf
CELL_PARAMETERS angstrom
1.904 1.099 10.064
-1.904 1.099 10.064
0.000 -2.199 10.064
ATOMIC_POSITIONS angstrom
Sm 0.000 0.000 3.369
Sm 0.000 0.000 26.822
Lu 0.000 0.000 0.000
P 0.000 0.000 15.096
```